A plane-wave DFT calculation with PBE was carried out for crystalline KReW2 at its relaxed geometry.

Unit cell a=2.8743 b=3.9657 c=8.1863 alpha=90.00 beta=90.00 gamma=90.00
Element x y z (fractional)
K  0.0000  0.0000  0.0000
Re  0.0000  0.0000  0.5000
W  0.5000  0.5000  0.3525
W  0.5000  0.5000  0.6475

Computed properties:
energy of formation = 22.12 kcal/mol of atoms
total magnetic moment = 0.000 μB per formula unit
SG = Pmmm
DOS at the Fermi energy = 0.73 states/eV/atom
total energy = -8.9037 eV per atom
ΔE to the lowest computed polymorph = 0.73 eV per formula unit